CePu2Mg: optimized geometry, GGA-PBE.

Lattice parameters (Å, degrees): 3.2647 3.2647 9.3974 90.00 90.00 90.00
Positions (direct):
1 Ce 0.0000 0.0000 0.0000
2 Pu 0.5000 0.5000 0.2346
3 Pu 0.5000 0.5000 0.7654
4 Mg 0.0000 0.0000 0.5000

SG: P4/mmm
Total DFT energy (no corrections), eV for the cell shown: -35.52
E above lowest polymorph, meV per atom: 7
DOS at the Fermi energy, states/eV/f.u.: 11.46